The following is a GGA-PBE calculation of crystalline TiH3Se at its relaxed geometry, from Alexandria via LeMat-Bulk.

The density of states at the Fermi level is 0.57 states/eV/atom. For the energy above the most stable polymorph in this dataset, the calculation gives 0 meV/atom.

The space group is Pm-3m (No. 221) and the conventional cell measures 3.608, 3.608 and 3.608 Å, with angles of 90.00, 90.00 and 90.00 degrees. The distinct sites, in fractional coordinates, are Ti at (0.000, 0.000, 0.000), H at (0.000, 0.000, 0.500) and Se at (0.500, 0.500, 0.500).